Below is crystalline Sm7Er3Tl at its relaxed geometry, with properties calculated at the PBE-GGA level.

calculated formation energy: 13.5 kJ/mol of atoms

abc: 8.5626 7.0395 7.0395
angles: 120.00 90.00 90.00
Atoms (fractional coordinates):
Er 0.7819 0.5009 0.0017
Er 0.7819 0.5009 0.4991
Er 0.7819 0.9983 0.4991
Sm 0.1178 0.1685 0.3370
Sm 0.1178 0.1685 0.8315
Sm 0.1178 0.6630 0.8315
Sm 0.4490 0.8304 0.6608
Sm 0.1099 0.6667 0.3333
Sm 0.4490 0.8304 0.1696
Sm 0.4490 0.3392 0.1696
Tl 0.4590 0.3333 0.6667



Below is crystalline Sm3Er4Tl at its relaxed geometry, with properties calculated at the PBE-GGA level.

calculated formation energy: -7.4 kJ/mol of atoms

abc: 6.1969 7.0541 11.2211
angles: 90.00 90.00 90.00
Atoms (fractional coordinates):
Er 0.4888 0.8769 0.7407
Er 0.4888 0.8769 0.2593
Er 0.9888 0.1231 0.7593
Er 0.9888 0.1231 0.2407
Er 0.6655 0.1196 0.5000
Er 0.6451 0.1280 0.0000
Er 0.1451 0.8720 0.5000
Er 0.1655 0.8804 0.0000
Sm 0.9743 0.6159 0.2371
Sm 0.4743 0.3841 0.2629
Sm 0.9743 0.6159 0.7629
Sm 0.6250 0.6289 0.0000
Sm 0.4743 0.3841 0.7371
Sm 0.1250 0.3711 0.5000
Tl 0.1536 0.3620 0.0000
Tl 0.6536 0.6380 0.5000



Number 1: total moment 0.00 μB/f.u., E -47.6 eV/f.u.. Number 2: total moment 0.00 μB/f.u., E -35.4 eV/f.u..